# CrGe3P (GGA-PBE, optimized geometry)
data_CrGe3P
_cell_length_a 4.683
_cell_length_b 4.683
_cell_length_c 4.683
_cell_angle_alpha 90.00
_cell_angle_beta 90.00
_cell_angle_gamma 90.00
_symmetry_space_group_name_H-M 'P m -3 m'
_symmetry_Int_Tables_number 221
_symmetry_space_group_name_Hall '-P 4 2 3'
loop_
_atom_site_label
_atom_site_type_symbol
_atom_site_fract_x
_atom_site_fract_y
_atom_site_fract_z
Cr1 Cr 0.000 0.000 0.000
Ge1 Ge 0.000 0.000 0.500
P1 P 0.500 0.500 0.500
# * formation enthalpy at 0 K: 587 meV/atom
# * volume: 20.5 Å³ per atom

=====

# SmAl3AgPd (GGA-PBE, optimized geometry)
data_SmAl3AgPd
_cell_length_a 6.006
_cell_length_b 13.121
_cell_length_c 5.965
_cell_angle_alpha 90.00
_cell_angle_beta 90.00
_cell_angle_gamma 90.00
_symmetry_space_group_name_H-M 'C m c m'
_symmetry_Int_Tables_number 63
_symmetry_space_group_name_Hall '-C 2c 2'
loop_
_atom_site_label
_atom_site_type_symbol
_atom_site_fract_x
_atom_site_fract_y
_atom_site_fract_z
Sm1 Sm 0.000 0.204 0.250
Al1 Al 0.000 0.369 0.750
Al2 Al 0.217 0.000 0.000
Ag1 Ag 0.000 0.158 0.750
Pd1 Pd 0.000 0.414 0.250
# * formation enthalpy at 0 K: -411 meV/atom
# * volume: 19.6 Å³ per atom